The following is a PBEsol calculation of a relaxed structure of AgSO4, from the Alexandria database.

Cell lengths 4.799, 4.714, 8.243 Å; angles 83.60, 72.31, 69.43 degrees
Each line ends with the local moment (μB).
Element x y z (fractional)
1 Ag 0.500 0.500 0.500  0.23
2 Ag 0.000 0.000 0.000  -0.22
3 O 0.761 0.760 0.915  -0.03
4 O 0.022 0.722 0.606  0.03
5 O 0.239 0.240 0.085  -0.03
6 O 0.450 0.400 0.266  0.04
7 O 0.550 0.600 0.734  0.04
8 O 0.978 0.278 0.394  0.03
9 O 0.945 0.733 0.227  -0.04
10 O 0.055 0.267 0.773  -0.04
11 S 0.852 0.584 0.758  0.00
12 S 0.148 0.416 0.242  0.00

Output
Its formation energy without anion corrections is -0.927 eV/atom. The space-group type is No. 2. The energy above the most stable polymorph in this dataset comes out at 0.0020 eV per atom.

=====

The following is a PBEsol calculation of a relaxed structure of SiAg6SO8, from the Alexandria database.

Cell lengths 6.845, 6.845, 10.217 Å; angles 109.57, 109.57, 90.00 degrees
Element x y z (fractional)
1 O 0.630 0.452 0.905
2 O 0.702 0.024 0.405
3 O 0.302 0.601 0.603
4 O 0.948 0.748 0.897
5 O 0.274 0.452 0.905
6 O 0.976 0.298 0.595
7 O 0.702 0.380 0.405
8 O 0.620 0.298 0.595
9 O 0.548 0.370 0.095
10 O 0.948 0.149 0.897
11 O 0.252 0.052 0.103
12 O 0.399 0.698 0.397
13 O 0.548 0.726 0.095
14 O 0.302 0.002 0.603
15 O 0.851 0.052 0.103
16 O 0.998 0.698 0.397
17 S 0.750 0.250 0.500
18 S 0.500 0.500 0.000
19 Ag 0.125 0.669 0.750
20 Ag 0.331 0.375 0.250
21 Ag 0.919 0.375 0.250
22 Ag 0.331 0.875 0.250
23 Ag 0.019 0.519 0.038
24 Ag 0.919 0.875 0.250
25 Ag 0.625 0.669 0.750
26 Ag 0.769 0.769 0.538
27 Ag 0.125 0.081 0.750
28 Ag 0.625 0.081 0.750
29 Ag 0.231 0.231 0.462
30 Ag 0.481 0.981 0.962
31 Si 0.000 0.000 0.000
32 Si 0.250 0.750 0.500

Output
Its formation energy without anion corrections is -0.930 eV/atom. The space-group type is No. 141.

=====

The following is a PBEsol calculation of a relaxed structure of AgSbO3, from the Alexandria database.

Cell lengths 8.008, 8.008, 8.252 Å; angles 109.45, 109.37, 108.37 degrees
Element x y z (fractional)
1 Sb 0.501 0.841 0.336
2 Sb 0.667 0.501 0.156
3 Sb 0.344 0.510 0.844
4 Sb 0.164 0.664 0.500
5 Sb 0.841 0.341 0.500
6 Sb 0.506 0.166 0.664
7 Ag 0.331 0.321 0.327
8 Ag 0.994 0.004 0.673
9 Ag 0.426 0.003 0.995
10 Ag 0.007 0.431 0.005
11 Ag 0.007 0.000 0.330
12 Ag 0.670 0.677 0.670
13 O 0.364 0.364 0.000
14 O 0.016 0.363 0.373
15 O 0.389 0.682 0.720
16 O 0.707 0.387 0.661
17 O 0.047 0.340 0.723
18 O 0.333 0.724 0.048
19 O 0.332 0.294 0.621
20 O 0.282 0.961 0.667
21 O 0.361 0.009 0.368
22 O 0.294 0.615 0.333
23 O 0.962 0.669 0.280
24 O 0.617 0.324 0.277
25 O 0.642 0.994 0.632
26 O 0.727 0.047 0.339
27 O 0.676 0.285 0.952
28 O 0.673 0.711 0.379
29 O 0.990 0.643 0.627
30 O 0.645 0.645 0.000

Output
Its formation energy without anion corrections is -0.959 eV/atom. The space-group type is No. 5.

=====

The following is a PBEsol calculation of a relaxed structure of Ag3SbO, from the Alexandria database.

Cell lengths 5.147, 5.147, 5.147 Å; angles 90.00, 90.00, 90.00 degrees
Each line ends with the local moment (μB).
Element x y z (fractional)
1 Ag 0.000 0.500 0.000  0.07
2 Ag 0.500 0.000 0.000  0.07
3 Ag 0.000 0.000 0.500  0.07
4 Sb 0.000 0.000 0.000  0.09
5 O 0.500 0.500 0.500  1.24

Output
Its formation energy without anion corrections is 0.980 eV/atom. The space-group type is No. 221.

=====

The following is a PBEsol calculation of a relaxed structure of AgSbO3, from the Alexandria database.

Cell lengths 7.276, 7.276, 7.276 Å; angles 60.00, 60.00, 60.00 degrees
Element x y z (fractional)
1 O 0.048 0.452 0.048
2 O 0.202 0.798 0.202
3 O 0.798 0.202 0.798
4 O 0.202 0.202 0.798
5 O 0.452 0.048 0.452
6 O 0.452 0.048 0.048
7 O 0.202 0.798 0.798
8 O 0.798 0.798 0.202
9 O 0.048 0.048 0.452
10 O 0.798 0.202 0.202
11 O 0.452 0.452 0.048
12 O 0.048 0.452 0.452
13 Sb 0.125 0.625 0.125
14 Sb 0.125 0.125 0.125
15 Sb 0.125 0.125 0.625
16 Sb 0.625 0.125 0.125
17 Ag 0.625 0.625 0.125
18 Ag 0.625 0.125 0.625
19 Ag 0.625 0.625 0.625
20 Ag 0.125 0.625 0.625

Output
Its formation energy without anion corrections is -0.988 eV/atom. The space-group type is No. 227.

=====

The following is a PBEsol calculation of a relaxed structure of AgSbWO7, from the Alexandria database.

Cell lengths 7.196, 7.304, 7.304 Å; angles 59.94, 60.49, 60.49 degrees
Each line ends with the local moment (μB).
Element x y z (fractional)
1 O 0.077 0.173 0.673  0.03
2 O 0.065 0.566 0.690  0.01
3 O 0.679 0.566 0.690  0.01
4 O 0.321 0.434 0.310  0.01
5 O 0.321 0.810 0.934  0.01
6 O 0.674 0.076 0.576  0.54
7 O 0.065 0.190 0.066  0.01
8 O 0.935 0.434 0.310  0.01
9 O 0.679 0.190 0.066  0.01
10 O 0.326 0.924 0.424  0.54
11 O 0.305 0.445 0.945  0.00
12 O 0.923 0.827 0.327  0.03
13 O 0.935 0.810 0.934  0.01
14 O 0.695 0.555 0.055  0.00
15 W 0.500 0.500 0.000  0.01
16 W 0.000 0.500 0.000  0.01
17 Ag 0.500 0.000 0.500  0.23
18 Ag 0.000 0.000 0.500  0.23
19 Sb 0.000 0.500 0.500  0.00
20 Sb 0.000 0.000 0.000  0.00

Output
Its formation energy without anion corrections is -1.211 eV/atom. The space-group type is No. 74.